# AgGe3F

A geometry-optimized AgGe3F structure (PBE, the Alexandria database).

```
AgGe3F
1.0
-0.255 -4.182 2.761
4.321 -1.583 -2.000
2.538 2.276 3.682
Ge Ag F
3 1 1
Direct
0.000 0.500 0.000
0.500 0.000 0.000
0.000 0.000 0.500
0.000 0.000 0.000
0.500 0.500 0.500
```

space-group type	Pm-3m
formation energy from raw total energies	0.488	eV per atom
offset from the most stable computed form	2.18	eV/f.u.
V	25.3	Å³ per atom
DOS(E_F)	0.55	states/eV per atom